Density functional theory data (PBE) for crystalline Sr3Pm4Ge4 at its relaxed geometry.

Cell: 4.3953 9.3258 9.8195 Å, 118.35 102.93 90.00°
Fractional positions:
Pm (0.3278, 0.5215, 0.6556)
Sr (0.8955, 0.8955, 0.7910)
Ge (0.5000, 0.7717, 0.0000)
Sr (0.1045, 0.1045, 0.2090)
Ge (0.7624, 0.2624, 0.5248)
Ge (0.2376, 0.7376, 0.4752)
Pm (0.6722, 0.4785, 0.3444)
Ge (0.5000, 0.2283, 0.0000)
Pm (0.3278, 0.1341, 0.6556)
Pm (0.6722, 0.8659, 0.3444)
Sr (0.0000, 0.5000, 0.0000)

Output
Its formation energy is -507 meV/atom. Its density of states at the Fermi level is 7.58 states/eV/f.u. The calculation puts the total energy at -4.372 eV/atom.